First-principles (PBE-GGA) data for a relaxed Ba2SrBr crystal, as listed in Alexandria via LeMat-Bulk.

As for the total magnetization: 0.000 μB/cell. The uncorrected formation energy comes out at -0.69 eV per atom. For the relative energy among the computed polymorphs, the calculation gives 0.23 eV/f.u.

The structure belongs to space group P2/m (No. 10); the cell edges are 4.403, 4.300 and 11.724 Å and the angles 90.00°, 90.57° and 90.00°. Symmetry generates all atoms from Ba at (0.007, 0.000, 0.280), Sr at (0.500, 0.500, 0.000) and Br at (0.000, 0.500, 0.500).